The following is a DFT calculation (PBE-GGA) of Tb2NbN3 after structural relaxation.

Calculated values
The calculated total energy comes out at -0.32384 Ha/atom. Its space group is P-3m1 (164).

Lattice parameters (Å, degrees): 3.3390 3.3390 8.2087 90.00 90.00 120.00
Closest atoms and distances in Å follow each position.
Fractional positions:
Tb1 0.3333 0.6667 0.3245  6 N 2.41-2.42
Tb2 0.6667 0.3333 0.6755  6 N 2.41-2.42
Nb1 0.0000 0.0000 0.0000  6 N 2.27
N1 0.0000 0.0000 0.5000  6 Tb 2.41
N2 0.3333 0.6667 0.8545  3 Nb 2.27, 3 Tb 2.42
N3 0.6667 0.3333 0.1455  3 Nb 2.27, 3 Tb 2.42

The following is a DFT calculation (PBE-GGA) of MgZnAsO after structural relaxation.

Calculated values
The calculated total energy comes out at -0.15280 Ha/atom. Its space group is Pmc2_1 (26).

Lattice parameters (Å, degrees): 3.1691 7.0364 6.0736 90.00 90.00 90.00
Closest atoms and distances in Å follow each position.
Fractional positions:
Mg1 0.0000 0.2176 0.0000  2 O 1.95
Mg2 0.0000 0.7824 0.5000  2 O 1.95
Zn1 0.5000 0.3909 0.5969  2 O 1.98-2.02
Zn2 0.5000 0.6091 0.0969  2 O 1.98-2.02
As1 0.0000 0.1531 0.4324  2 Zn 2.51, 2 Mg 2.64-2.66
As2 0.0000 0.8469 0.9324  2 Zn 2.51, 2 Mg 2.64-2.66
O1 0.5000 0.3675 0.9284  2 Mg 1.95, 2 Zn 1.98-2.02
O2 0.5000 0.6325 0.4284  2 Mg 1.95, 2 Zn 1.98-2.02